A plane-wave DFT calculation with PBE-GGA was carried out for a geometry-optimized YTaSi4 structure.

abc: 5.1244 5.1244 5.1244
angles: 60.00 60.00 60.00
Fractional coordinates of all 6 atoms:
1 Y 0.0000 0.0000 0.0000
2 Ta 0.2500 0.2500 0.2500
3 Si 0.1305 0.6232 0.6232
4 Si 0.6232 0.1305 0.6232
5 Si 0.6232 0.6232 0.1305
6 Si 0.6232 0.6232 0.6232

Calculated values
Calculated density: 6.67 g/cm³
Symmetry: F-43m (216)
Uncorrected formation energy: 20 meV per atom
Raw total energy: -39.886 eV for the cell shown
DOS(E_F): 1.7 states/eV/f.u.

---

A plane-wave DFT calculation with PBE-GGA was carried out for a geometry-optimized Y4TaSi structure.

abc: 6.0412 6.0412 6.0412
angles: 60.00 60.00 60.00
Fractional coordinates of all 6 atoms:
1 Y 0.3763 0.3763 0.3763
2 Y 0.3763 0.3763 0.8711
3 Y 0.3763 0.8711 0.3763
4 Y 0.8711 0.3763 0.3763
5 Ta 0.7500 0.7500 0.7500
6 Si 0.0000 0.0000 0.0000

Calculated values
Calculated density: 6.01 g/cm³
Symmetry: F-43m (216)
Uncorrected formation energy: 824 meV per atom
Raw total energy: -38.188 eV for the cell shown
DOS(E_F): 6.3 states/eV/f.u.

---

A plane-wave DFT calculation with PBE-GGA was carried out for a geometry-optimized YTaSi2 structure.

abc: 3.7970 3.7566 10.0314
angles: 90.00 90.00 90.00
Fractional coordinates of all 8 atoms:
1 Y 0.0000 0.0000 0.0000
2 Y 0.0000 0.5000 0.5000
3 Ta 0.5000 0.0000 0.2892
4 Ta 0.5000 0.5000 0.7892
5 Si 0.0000 0.0000 0.7267
6 Si 0.0000 0.5000 0.2267
7 Si 0.5000 0.0000 0.5776
8 Si 0.5000 0.5000 0.0776

Calculated values
Calculated density: 7.57 g/cm³
Symmetry: Amm2 (38)
Uncorrected formation energy: -536 meV per atom
Raw total energy: -62.613 eV for the cell shown
DOS(E_F): 0.9 states/eV/f.u.